The following is a PBE-GGA calculation of an optimized crystal structure of DyY3B2Pb2, from OQMD.

Results
As for the volume: 24.73 Å³/atom. The total energy comes out at -46.53 eV/cell.

Unit cell a=3.6982 b=3.6982 c=16.7003 alpha=90.00 beta=90.00 gamma=120.00
With the nearest neighbours (Å) after each atom.
Space group P3m1 (No. 156)
One atom of each set of equivalent atoms:
Dy1 0.0000 0.0000 0.0000 [1 per cell]  3 B 2.60
Y1 0.0000 0.0000 0.3203 [1 per cell]  3 B 2.61
Y2 0.3333 0.6667 0.5007 [1 per cell]  3 B 2.61
Y3 0.3333 0.6667 0.8204 [1 per cell]  3 B 2.61
B1 0.6667 0.3333 0.4106 [1 per cell]  6 Y 2.61
B2 0.6667 0.3333 0.9108 [1 per cell]  3 Dy 2.60, 3 Y 2.61
Pb1 0.0000 0.0000 0.6606 [1 per cell]  6 Y 3.42, 6 Pb 3.70
Pb2 0.3333 0.6667 0.1603 [1 per cell]  3 Y 3.42, 3 Dy 3.42, 6 Pb 3.70

The following is a PBE-GGA calculation of an optimized crystal structure of PuCoOs, from OQMD.

Results
As for the volume: 18.06 Å³/atom. The total energy comes out at -121.25 eV/cell.

Unit cell a=6.0064 b=6.0064 c=6.0064 alpha=90.00 beta=90.00 gamma=90.00
With the nearest neighbours (Å) after each atom.
Space group F-43m (No. 216)
One atom of each set of equivalent atoms:
Pu1 0.0000 0.0000 0.0000 [4 per cell]  4 Co 2.60
Co1 0.2500 0.2500 0.7500 [4 per cell]  4 Pu 2.60, 4 Os 2.60
Os1 0.0000 0.0000 0.5000 [4 per cell]  4 Co 2.60

The following is a PBE-GGA calculation of an optimized crystal structure of Tm3Si, from OQMD.

Results
As for the volume: 26.17 Å³/atom. The total energy comes out at -81.90 eV/cell.

Unit cell a=7.5862 b=8.9848 c=6.1432 alpha=90.00 beta=90.00 gamma=90.00
With the nearest neighbours (Å) after each atom.
Space group Pnma (No. 62)
One atom of each set of equivalent atoms:
Tm1 0.0307 0.2500 0.1252 [4 per cell]  2 Si 2.89-2.94
Tm2 0.1782 0.0565 0.6474 [8 per cell]  3 Si 2.91-3.08
Si1 0.1214 0.7500 0.4352 [4 per cell]  8 Tm 2.89-3.08

The following is a PBE-GGA calculation of an optimized crystal structure of SrPtNO, from OQMD.

Results
As for the volume: 17.92 Å³/atom. The total energy comes out at -47.07 eV/cell.

Unit cell a=4.1749 b=4.1749 c=8.2270 alpha=90.00 beta=90.00 gamma=90.00
With the nearest neighbours (Å) after each atom.
Space group P4/nmm (No. 129, origin choice 2)
One atom of each set of equivalent atoms:
Sr1 0.2500 0.2500 0.1365 [2 per cell]  4 O 2.37
Pt1 0.2500 0.7500 0.5000 [2 per cell]  4 N 2.09
N1 0.2500 0.2500 0.4973 [2 per cell]  4 Pt 2.09
O1 0.2500 0.7500 0.0000 [2 per cell]  4 Sr 2.37

The following is a PBE-GGA calculation of an optimized crystal structure of H2Ir, from OQMD.

Results
As for the volume: 7.89 Å³/atom. The total energy comes out at -29.18 eV/cell.

Unit cell a=4.0973 b=4.0973 c=2.8189 alpha=90.00 beta=90.00 gamma=90.00
With the nearest neighbours (Å) after each atom.
Space group P4_2/mnm (No. 136)
One atom of each set of equivalent atoms:
H1 0.1951 0.1951 0.0000 [4 per cell]  3 Ir 1.77-1.81
Ir1 0.0000 0.0000 0.5000 [2 per cell]  6 H 1.77-1.81

The following is a PBE-GGA calculation of an optimized crystal structure of RbNiPd, from OQMD.

Results
As for the volume: 23.83 Å³/atom. The total energy comes out at -35.68 eV/cell.

Unit cell a=6.5883 b=6.5883 c=6.5883 alpha=90.00 beta=90.00 gamma=90.00
With the nearest neighbours (Å) after each atom.
Space group F-43m (No. 216)
One atom of each set of equivalent atoms:
Rb1 0.0000 0.0000 0.0000 [4 per cell]  4 Ni 2.85
Ni1 0.2500 0.2500 0.7500 [4 per cell]  4 Rb 2.85, 4 Pd 2.85
Pd1 0.0000 0.0000 0.5000 [4 per cell]  4 Ni 2.85

The following is a PBE-GGA calculation of an optimized crystal structure of SmGeAu, from OQMD.

Results
As for the volume: 21.76 Å³/atom. The total energy comes out at -30.23 eV/cell.

Unit cell a=4.5079 b=4.5079 c=7.4196 alpha=90.00 beta=90.00 gamma=120.00
With the nearest neighbours (Å) after each atom.
Space group P6_3mc (No. 186)
One atom of each set of equivalent atoms:
Sm1 0.0000 0.0000 0.0000 [2 per cell]  6 Ge 3.04-3.37, 6 Au 3.05-3.36
Ge1 0.3333 0.6667 0.2118 [2 per cell]  3 Au 2.66
Au1 0.3333 0.6667 0.7858 [2 per cell]  3 Ge 2.66

The following is a PBE-GGA calculation of an optimized crystal structure of TbTlGa, from OQMD.

Results
As for the volume: 26.45 Å³/atom. The total energy comes out at -42.85 eV/cell.

Unit cell a=6.8217 b=6.8217 c=6.8217 alpha=90.00 beta=90.00 gamma=90.00
With the nearest neighbours (Å) after each atom.
Space group F-43m (No. 216)
One atom of each set of equivalent atoms:
Tb1 0.0000 0.0000 0.0000 [4 per cell]  4 Ga 2.95
Tl1 0.0000 0.0000 0.5000 [4 per cell]  4 Ga 2.95
Ga1 0.2500 0.2500 0.2500 [4 per cell]  4 Tb 2.95, 4 Tl 2.95

The following is a PBE-GGA calculation of an optimized crystal structure of Er4TlTeC2, from OQMD.

Results
As for the volume: 22.03 Å³/atom. The total energy comes out at -47.24 eV/cell.

Unit cell a=3.6757 b=3.6757 c=15.0649 alpha=90.00 beta=90.00 gamma=120.00
With the nearest neighbours (Å) after each atom.
Space group P-6m2 (No. 187)
One atom of each set of equivalent atoms:
Er1 0.0000 0.0000 0.1517 [2 per cell]  3 C 2.48
Er2 0.3333 0.6667 0.3259 [2 per cell]  3 C 2.51
Tl1 0.0000 0.0000 0.5000 [1 per cell]  6 Er 3.37, 6 Tl 3.68
Te1 0.3333 0.6667 0.0000 [1 per cell]  6 Er 3.12
C1 0.6667 0.3333 0.2364 [2 per cell]  6 Er 2.48-2.51

The following is a PBE-GGA calculation of an optimized crystal structure of LuNbInNi, from OQMD.

Results
As for the volume: 19.09 Å³/atom. The total energy comes out at -89.68 eV/cell.

Unit cell a=6.7348 b=6.7348 c=6.7348 alpha=90.00 beta=90.00 gamma=90.00
With the nearest neighbours (Å) after each atom.
Space group F-43m (No. 216)
One atom of each set of equivalent atoms:
Lu1 0.0000 0.0000 0.0000 [4 per cell]  4 Nb 2.92, 4 Ni 2.92
Nb1 0.2500 0.2500 0.2500 [4 per cell]  4 In 2.92, 4 Lu 2.92
In1 0.0000 0.0000 0.5000 [4 per cell]  4 Ni 2.92, 4 Nb 2.92
Ni1 0.2500 0.2500 0.7500 [4 per cell]  4 In 2.92, 4 Lu 2.92

The following is a PBE-GGA calculation of an optimized crystal structure of LaLuBeNi, from OQMD.

Results
As for the volume: 18.25 Å³/atom. The total energy comes out at -72.77 eV/cell.

Unit cell a=6.6338 b=6.6338 c=6.6338 alpha=90.00 beta=90.00 gamma=90.00
With the nearest neighbours (Å) after each atom.
Space group F-43m (No. 216)
One atom of each set of equivalent atoms:
La1 0.0000 0.0000 0.0000 [4 per cell]  4 Ni 2.87, 4 Lu 2.87
Lu1 0.2500 0.2500 0.2500 [4 per cell]  4 La 2.87, 4 Be 2.87
Be1 0.0000 0.0000 0.5000 [4 per cell]  4 Lu 2.87, 4 Ni 2.87
Ni1 0.2500 0.2500 0.7500 [4 per cell]  4 La 2.87, 4 Be 2.87

The following is a PBE-GGA calculation of an optimized crystal structure of BeZn, from OQMD.

Results
As for the volume: 11.13 Å³/atom. The total energy comes out at -37.67 eV/cell.

Unit cell a=3.9362 b=10.2054 c=4.4323 alpha=90.00 beta=90.00 gamma=90.00
With the nearest neighbours (Å) after each atom.
Space group Pmmn (No. 59, origin choice 2)
One atom of each set of equivalent atoms:
Be1 0.2500 0.0036 0.1405 [4 per cell]  5 Be 2.33-2.44, 6 Zn 2.41-2.61
Be2 0.2500 0.6284 0.7074 [4 per cell]  4 Be 2.35-2.48, 7 Zn 2.36-2.56
Zn1 0.2500 0.1005 0.6361 [4 per cell]  7 Be 2.36-2.50, 3 Zn 2.58-2.61
Zn2 0.2500 0.2500 0.1578 [2 per cell]  6 Be 2.40-2.52, 4 Zn 2.56-2.61
Zn3 0.2500 0.7500 0.2122 [2 per cell]  6 Be 2.52-2.61, 6 Zn 2.56-2.58

The following is a PBE-GGA calculation of an optimized crystal structure of LiZnCdCo, from OQMD.

Results
As for the volume: 14.15 Å³/atom. The total energy comes out at -43.25 eV/cell.

Unit cell a=6.0941 b=6.0941 c=6.0941 alpha=90.00 beta=90.00 gamma=90.00
With the nearest neighbours (Å) after each atom.
Space group F-43m (No. 216)
One atom of each set of equivalent atoms:
Li1 0.0000 0.0000 0.0000 [4 per cell]  4 Cd 2.64, 4 Co 2.64
Zn1 0.0000 0.0000 0.5000 [4 per cell]  4 Cd 2.64, 4 Co 2.64
Cd1 0.2500 0.2500 0.2500 [4 per cell]  4 Li 2.64, 4 Zn 2.64
Co1 0.2500 0.2500 0.7500 [4 per cell]  4 Li 2.64, 4 Zn 2.64